# 1
VASP calculation (PBE) on an optimized crystal structure of LaLuAlSn.

Properties
**VASP energy**: -4.734 eV per atom
**ΔE_f**: -436 meV per atom
**Total magnetization**: 0.0 Bohr magnetons per cell
**Crystal system**: cubic

abc: 5.3227 5.3227 5.3227
angles: 60.00 60.00 60.00
Atoms (fractional coordinates):
Sn (0.2500, 0.2500, 0.2500)
Lu (0.0000, 0.0000, 0.0000)
La (0.5000, 0.5000, 0.5000)
Al (0.7500, 0.7500, 0.7500)

# 2
VASP calculation (PBE) on an optimized crystal structure of PmMg3Pd2.

Properties
**VASP energy**: -3.854 eV per atom
**ΔE_f**: -534 meV per atom
**Total magnetization**: 0.0 Bohr magnetons per cell
**Distance to the lowest polymorph of the same formula**: 37 meV per atom
**Crystal system**: monoclinic

abc: 4.1195 8.7913 8.9188
angles: 122.55 90.00 103.55
Atoms (fractional coordinates):
Pm (0.1297, 0.2594, 0.1037)
Mg (0.9730, 0.9460, 0.6305)
Pd (0.2086, 0.4172, 0.6900)
Mg (0.0270, 0.0540, 0.3695)
Mg (0.6483, 0.2966, 0.8058)
Pd (0.7914, 0.5828, 0.3100)
Mg (0.3224, 0.6447, 0.5381)
Pd (0.5024, 0.0049, 0.1576)
Pd (0.4976, 0.9951, 0.8424)
Mg (0.3517, 0.7034, 0.1942)
Mg (0.6776, 0.3553, 0.4619)
Pm (0.8703, 0.7406, 0.8963)

# 3
VASP calculation (PBE) on an optimized crystal structure of ZrCr2Si.

Properties
**VASP energy**: -8.246 eV per atom
**Total magnetization**: 0.0 Bohr magnetons per cell
**Energy relative to the elements, uncorrected**: 0.06 eV/atom
**Crystal system**: cubic

abc: 4.3366 4.3366 4.3366
angles: 60.00 60.00 60.00
Atoms (fractional coordinates):
Zr (0.7500, 0.7500, 0.7500)
Cr (0.2500, 0.2500, 0.2500)
Si (0.5000, 0.5000, 0.5000)
Cr (0.0000, 0.0000, 0.0000)

# 4
VASP calculation (PBE) on an optimized crystal structure of PaV2W.

Properties
**VASP energy**: -10.061 eV per atom
**ΔE_f**: 110 meV per atom
**Total magnetization**: 0.0 Bohr magnetons per cell
**Distance to the lowest polymorph of the same formula**: 0 meV per atom
**Crystal system**: cubic

abc: 4.5441 4.5441 4.5441
angles: 60.00 60.00 60.00
Atoms (fractional coordinates):
Pa (0.0000, 0.0000, 0.0000)
W (0.5000, 0.5000, 0.5000)
V (0.7500, 0.7500, 0.7500)
V (0.2500, 0.2500, 0.2500)

# 5
VASP calculation (PBE) on an optimized crystal structure of HoNpHg2.

Properties
**VASP energy**: -4.589 eV per atom
**ΔE_f**: -58 meV per atom
**Total magnetization**: 4.4 Bohr magnetons per cell
**Crystal system**: tetragonal

abc: 3.3359 3.3359 8.8911
angles: 90.00 90.00 90.00
Atoms (fractional coordinates):
Ho (0.5000, 0.5000, 0.0000)
Np (0.5000, 0.5000, 0.5000)
Hg (0.0000, 0.0000, 0.2404)
Hg (0.0000, 0.0000, 0.7596)

# 6
VASP calculation (PBE) on an optimized crystal structure of CaPrRu.

Properties
**VASP energy**: -5.251 eV per atom
**ΔE_f**: 101 meV per atom
**Total magnetization**: 0.0 Bohr magnetons per cell
**Distance to the lowest polymorph of the same formula**: 106 meV per atom
**Crystal system**: cubic

abc: 4.9026 4.9026 4.9026
angles: 60.00 60.00 60.00
Atoms (fractional coordinates):
Ca (0.5000, 0.5000, 0.5000)
Pr (0.0000, 0.0000, 0.0000)
Ru (0.2500, 0.2500, 0.2500)

# 7
VASP calculation (PBE) on an optimized crystal structure of Fe2TcP2.

Properties
**VASP energy**: -7.807 eV per atom
**ΔE_f**: -185 meV per atom
**Total magnetization**: 0.0 Bohr magnetons per cell
**Distance to the lowest polymorph of the same formula**: 115 meV per atom
**Crystal system**: tetragonal

abc: 3.6615 3.6615 5.1581
angles: 69.21 69.21 90.00
Atoms (fractional coordinates):
P (0.3809, 0.3809, 0.2383)
P (0.6191, 0.6191, 0.7617)
Tc (0.0000, 0.0000, 0.0000)
Fe (0.7500, 0.2500, 0.5000)
Fe (0.2500, 0.7500, 0.5000)

# 8
VASP calculation (PBE) on an optimized crystal structure of Na2MnCrN.

Properties
**VASP energy**: -5.477 eV per atom
**Total magnetization**: 7.6 Bohr magnetons per cell
**Energy relative to the elements, uncorrected**: 0.47 eV/atom
**Crystal system**: tetragonal

abc: 5.1083 3.7032 5.1083
angles: 90.00 90.00 90.00
Atoms (fractional coordinates):
Na (0.5000, 0.0000, 0.0000)
Cr (0.0000, 0.5000, 0.0000)
Na (0.0000, 0.0000, 0.5000)
Mn (0.5000, 0.5000, 0.5000)
N (0.0000, 0.0000, 0.0000)

# 9
VASP calculation (PBE) on an optimized crystal structure of TlGe2F7.

Properties
**VASP energy**: -4.493 eV per atom
**Total magnetization**: 0.0 Bohr magnetons per cell
**Energy relative to the elements, uncorrected**: -2.02 eV/atom
**Crystal system**: orthorhombic

abc: 3.9981 6.5717 6.7940
angles: 118.92 90.00 90.00
Atoms (fractional coordinates):
F (0.0000, 0.6833, 0.3667)
Ge (0.5000, 0.6680, 0.3360)
F (0.5000, 0.0641, 0.7119)
Ge (0.5000, 0.3320, 0.6640)
F (0.5000, 0.9359, 0.2881)
F (0.5000, 0.5000, 0.0000)
F (0.5000, 0.3522, 0.2881)
F (0.0000, 0.3167, 0.6333)
F (0.5000, 0.6478, 0.7119)
Tl (0.0000, 0.0000, 0.0000)

# 10
VASP calculation (PBE) on an optimized crystal structure of Mg2Ni2Pd.

Properties
**VASP energy**: -4.039 eV per atom
**ΔE_f**: -50 meV per atom
**Total magnetization**: 0.0 Bohr magnetons per cell
**Distance to the lowest polymorph of the same formula**: 165 meV per atom
**Crystal system**: tetragonal

abc: 7.1635 7.1635 2.8666
angles: 90.00 90.00 90.00
Atoms (fractional coordinates):
Ni (0.1310, 0.6310, 0.5000)
Ni (0.8690, 0.3690, 0.5000)
Mg (0.3366, 0.8366, 0.0000)
Mg (0.6634, 0.1634, 0.0000)
Pd (0.5000, 0.5000, 0.0000)
Pd (0.0000, 0.0000, 0.0000)
Mg (0.8366, 0.6634, 0.0000)
Ni (0.6310, 0.8690, 0.5000)
Mg (0.1634, 0.3366, 0.0000)
Ni (0.3690, 0.1310, 0.5000)

# 11
VASP calculation (PBE) on an optimized crystal structure of Pr6Ag2C.

Properties
**VASP energy**: -4.952 eV per atom
**ΔE_f**: -107 meV per atom
**Total magnetization**: 0.0 Bohr magnetons per cell
**Crystal system**: monoclinic

abc: 6.8457 7.4945 10.4225
angles: 90.00 89.26 90.00
Atoms (fractional coordinates):
Ag (0.5523, 0.9130, 0.2485)
Pr (0.3897, 0.5236, 0.2379)
Ag (0.9477, 0.4130, 0.2515)
Ag (0.4477, 0.0870, 0.7515)
Pr (0.6908, 0.1813, 0.4502)
Pr (0.6746, 0.2024, 0.0469)
Pr (0.8897, 0.9764, 0.7379)
Pr (0.8254, 0.7024, 0.4531)
C (0.0000, 0.0000, 0.5000)
Pr (0.6103, 0.4764, 0.7621)
Pr (0.3092, 0.8187, 0.5498)
Pr (0.8092, 0.6813, 0.0498)
Pr (0.1908, 0.3187, 0.9502)
Pr (0.1746, 0.2976, 0.5469)
C (0.5000, 0.5000, 0.0000)
Ag (0.0523, 0.5870, 0.7485)
Pr (0.1103, 0.0236, 0.2621)
Pr (0.3254, 0.7976, 0.9531)

# 12
VASP calculation (PBE) on an optimized crystal structure of Ho4ErSb5.

Properties
**VASP energy**: -5.459 eV per atom
**Total magnetization**: 0.0 Bohr magnetons per cell
**Energy relative to the elements, uncorrected**: -1.11 eV/atom
**Crystal system**: orthorhombic

abc: 4.3643 6.1684 11.5427
angles: 105.50 100.90 90.00
Atoms (fractional coordinates):
Er (0.0000, 0.0000, 0.0000)
Sb (0.5996, 0.0996, 0.1991)
Ho (0.4000, 0.4000, 0.8001)
Ho (0.6000, 0.6000, 0.1999)
Sb (0.8000, 0.3000, 0.5999)
Ho (0.1998, 0.1998, 0.3996)
Sb (0.2000, 0.7000, 0.4001)
Sb (0.4004, 0.9004, 0.8009)
Sb (0.0000, 0.5000, 0.0000)
Ho (0.8002, 0.8002, 0.6004)

# 13
VASP calculation (PBE) on an optimized crystal structure of NaErTh2Se4.

Properties
**VASP energy**: -5.884 eV per atom
**Total magnetization**: 0.0 Bohr magnetons per cell
**Energy relative to the elements, uncorrected**: -1.55 eV/atom
**Crystal system**: monoclinic

abc: 3.9963 7.6144 6.9452
angles: 72.74 90.00 90.00
Atoms (fractional coordinates):
Se (0.0000, 0.2692, 0.2437)
Se (0.0000, 0.7308, 0.7563)
Se (0.5000, 0.7355, 0.2515)
Er (0.5000, 0.5000, 0.0000)
Th (0.0000, 0.0000, 0.0000)
Th (0.5000, 0.0000, 0.5000)
Na (0.0000, 0.5000, 0.5000)
Se (0.5000, 0.2645, 0.7485)

# 14
VASP calculation (PBE) on an optimized crystal structure of CuHg4.

Properties
**VASP energy**: -0.937 eV per atom
**ΔE_f**: 124 meV per atom
**Total magnetization**: 0.0 Bohr magnetons per cell
**Crystal system**: trigonal

abc: 7.4358 7.4358 7.4358
angles: 36.15 36.15 36.15
Atoms (fractional coordinates):
Cu (0.0000, 0.0000, 0.0000)
Hg (0.1295, 0.1295, 0.1295)
Hg (0.8705, 0.8705, 0.8705)
Hg (0.2935, 0.2935, 0.2935)
Hg (0.7065, 0.7065, 0.7065)

# 15
VASP calculation (PBE) on an optimized crystal structure of Cu2Ag5Cl12.

Properties
**VASP energy**: -2.744 eV per atom
**Total magnetization**: 2.0 Bohr magnetons per cell
**Energy relative to the elements, uncorrected**: -0.40 eV/atom
**Crystal system**: monoclinic

abc: 6.8759 8.2142 9.4900
angles: 96.99 90.00 114.74
Atoms (fractional coordinates):
Ag (0.3478, 0.6956, 0.6652)
Cl (0.0387, 0.0774, 0.8552)
Cl (0.4484, 0.3865, 0.1666)
Cu (0.7546, 0.0000, 0.0000)
Ag (0.0000, 0.0000, 0.5000)
Ag (0.7060, 0.4119, 0.7127)
Cu (0.2454, 0.0000, 0.0000)
Ag (0.6522, 0.3044, 0.3348)
Cl (0.1320, 0.7510, 0.4753)
Cl (0.3810, 0.2490, 0.5247)
Cl (0.4602, 0.9204, 0.1427)
Cl (0.6190, 0.7510, 0.4753)
Cl (0.5398, 0.0796, 0.8573)
Cl (0.5516, 0.6135, 0.8334)
Ag (0.2940, 0.5881, 0.2873)
Cl (0.9381, 0.3865, 0.1666)
Cl (0.9613, 0.9226, 0.1448)
Cl (0.8680, 0.2490, 0.5247)
Cl (0.0619, 0.6135, 0.8334)

# 16
VASP calculation (PBE) on an optimized crystal structure of HfMg2Tl2.

Properties
**VASP energy**: -3.426 eV per atom
**ΔE_f**: 149 meV per atom
**Total magnetization**: 0.0 Bohr magnetons per cell
**Distance to the lowest polymorph of the same formula**: 0 meV per atom
**Crystal system**: tetragonal

abc: 8.3076 8.3076 3.3584
angles: 90.00 90.00 90.00
Atoms (fractional coordinates):
Tl (0.8464, 0.6536, 0.0000)
Hf (0.0000, 0.0000, 0.0000)
Mg (0.6483, 0.8517, 0.5000)
Tl (0.3464, 0.8464, 0.0000)
Mg (0.8517, 0.3517, 0.5000)
Tl (0.1536, 0.3464, 0.0000)
Mg (0.3517, 0.1483, 0.5000)
Hf (0.5000, 0.5000, 0.0000)
Mg (0.1483, 0.6483, 0.5000)
Tl (0.6536, 0.1536, 0.0000)

# 17
VASP calculation (PBE) on an optimized crystal structure of ZrFeOs.

Properties
**VASP energy**: -8.537 eV per atom
**ΔE_f**: 876 meV per atom
**Total magnetization**: 2.8 Bohr magnetons per cell
**Distance to the lowest polymorph of the same formula**: 1222 meV per atom
**Crystal system**: cubic

abc: 4.3429 4.3429 4.3429
angles: 60.00 60.00 60.00
Atoms (fractional coordinates):
Zr (0.7500, 0.7500, 0.7500)
Fe (0.0000, 0.0000, 0.0000)
Os (0.5000, 0.5000, 0.5000)